No. 1
DFT (PBE) results for a relaxed SiPtCl2 crystal.

As for the total moment: 0.00 μB per atom. The density of states at the Fermi level is 1.86 states/eV/f.u. The value obtained for the formation energy from raw total energies is 1.04 eV/f.u. The calculation puts the polymorph energy (0 for the lowest one) at 803 meV per atom.

a b c (Å): 5.795 6.645 3.945
angles (deg): 90.00 90.00 90.00
Space group Cmmm (No. 65)
Inequivalent atoms, fractional coordinates:
Si (0.000, 0.000, 0.000) x2
Pt (0.000, 0.500, 0.000) x2
Cl (0.000, 0.264, 0.500) x4

***

No. 2
DFT (PBE) results for a relaxed SiPt4Cl crystal.

As for the total moment: 0.00 μB per atom. The density of states at the Fermi level is 9.26 states/eV/f.u. The value obtained for the formation energy from raw total energies is 2.60 eV/f.u.

a b c (Å): 7.547 7.547 7.547
angles (deg): 90.00 90.00 90.00
Space group F-43m (No. 216)
Inequivalent atoms, fractional coordinates:
Si (0.000, 0.000, 0.000) x4
Pt (0.125, 0.125, 0.625) x16
Cl (0.250, 0.250, 0.250) x4

***

No. 3
DFT (PBE) results for a relaxed SiPtCl2 crystal.

As for the total moment: 0.00 μB per atom. The density of states at the Fermi level is 1.11 states/eV/f.u. The value obtained for the formation energy from raw total energies is 0.86 eV/f.u. The calculation puts the polymorph energy (0 for the lowest one) at 758 meV per atom.

a b c (Å): 5.699 7.208 7.280
angles (deg): 90.00 90.00 90.00
Space group Fmmm (No. 69)
Inequivalent atoms, fractional coordinates:
Si (0.000, 0.000, 0.000) x4
Pt (0.000, 0.000, 0.500) x4
Cl (0.000, 0.250, 0.250) x8

***

No. 4
DFT (PBE) results for a relaxed SiPt2Cl crystal.

As for the total moment: 0.00 μB per atom. The density of states at the Fermi level is 1.57 states/eV/f.u. The value obtained for the formation energy from raw total energies is -0.41 eV/f.u. The calculation puts the polymorph energy (0 for the lowest one) at 215 meV per atom.

a b c (Å): 3.049 3.049 7.011
angles (deg): 90.00 90.00 90.00
Space group P4/mmm (No. 123)
Inequivalent atoms, fractional coordinates:
Si (0.000, 0.000, 0.000) x1
Pt (0.500, 0.500, 0.196) x2
Cl (0.000, 0.000, 0.500) x1

***

No. 5
DFT (PBE) results for a relaxed Si2PtCl crystal.

As for the total moment: 0.00 μB per atom. The density of states at the Fermi level is 1.97 states/eV/f.u. The value obtained for the formation energy from raw total energies is -0.02 eV/f.u. The calculation puts the polymorph energy (0 for the lowest one) at 480 meV per atom.

a b c (Å): 4.861 7.178 4.288
angles (deg): 90.00 90.00 90.00
Space group Cmmm (No. 65)
Inequivalent atoms, fractional coordinates:
Si (0.000, 0.178, 0.000) x4
Pt (0.000, 0.000, 0.500) x2
Cl (0.000, 0.500, 0.500) x2

***

No. 6
DFT (PBE) results for a relaxed SiPtCl2 crystal.

As for the total moment: 0.00 μB per atom. The density of states at the Fermi level is 0.15 states/eV/f.u. The value obtained for the formation energy from raw total energies is 1.26 eV/f.u. The calculation puts the polymorph energy (0 for the lowest one) at 860 meV per atom.

a b c (Å): 4.352 4.352 16.637
angles (deg): 90.00 90.00 90.00
Space group I-42d (No. 122)
Inequivalent atoms, fractional coordinates:
Si (0.000, 0.000, 0.000) x4
Pt (0.000, 0.000, 0.500) x4
Cl (0.244, 0.250, 0.625) x8

***

No. 7
DFT (PBE) results for a relaxed SiPtCl2 crystal.

As for the total moment: 0.00 μB per atom. The density of states at the Fermi level is 0.06 states/eV/f.u. The value obtained for the formation energy from raw total energies is 1.56 eV/f.u. The calculation puts the polymorph energy (0 for the lowest one) at 934 meV per atom.

a b c (Å): 4.615 4.615 6.518
angles (deg): 90.00 90.00 90.00
Space group I-4m2 (No. 119)
Inequivalent atoms, fractional coordinates:
Si (0.000, 0.000, 0.000) x2
Pt (0.000, 0.500, 0.750) x2
Cl (0.000, 0.000, 0.500) x2
Cl (0.000, 0.500, 0.250) x2

***

No. 8
DFT (PBE) results for a relaxed SiPt2Cl crystal.

As for the total moment: 0.00 μB per atom. The density of states at the Fermi level is 5.14 states/eV/f.u. The value obtained for the formation energy from raw total energies is 1.92 eV/f.u. The calculation puts the polymorph energy (0 for the lowest one) at 798 meV per atom.

a b c (Å): 6.423 6.423 6.423
angles (deg): 90.00 90.00 90.00
Space group F-43m (No. 216)
Inequivalent atoms, fractional coordinates:
Si (0.000, 0.000, 0.000) x4
Pt (0.000, 0.000, 0.500) x4
Pt (0.250, 0.250, 0.750) x4
Cl (0.250, 0.250, 0.250) x4